Below is a geometry-optimized CuTcRhW structure, with properties calculated at the PBE level.

Calculated values
- Density: 12.943 g cm⁻³
- N(E_F): 1.34 states/eV/atom
- ΔH_f (0 K): 0.065 eV/atom

The structure in POSCAR format:
```
CuTcRhW
1.0
-0.776 -1.824 -3.853
1.064 -4.143 -0.689
-3.104 -2.998 -0.392
Cu W Rh Tc
1 1 1 1
direct
0.250 0.250 0.250
0.750 0.750 0.750
0.000 0.000 0.000
0.500 0.500 0.500
```